The following is a PBE calculation of CaCuTc2 after structural relaxation, from Alexandria.

Output
Polymorph energy (0 for the lowest one) = 0 meV per atom
VASP energy = -6.50 eV/atom
Magnetization = 0.0 μB/f.u.

Cell: 3.1233 3.1194 7.8710 Å, 66.60 90.00 90.00°
Last column: nearest neighbours and their distance in Å.
Element x y z (fractional)
1 Tc 0.0000 0.9902 0.0099  4 Tc 2.56, 4 Cu 2.69
2 Tc 0.5000 0.3112 0.1883  4 Tc 2.56, 1 Cu 2.82
3 Cu 0.5000 0.7027 0.7978  5 Tc 2.69-2.82
4 Ca 0.0000 0.4958 0.5040  4 Cu 3.06, 4 Ca 3.12, 4 Tc 3.17-3.18